Record 1
PBEsol Rh2C, optimized geometry; E_form = 500.7 meV/atom; SG = No. 63; ΔE to the lowest computed polymorph = 0.3900 eV/atom; DOS at the Fermi energy = 0.523 states/eV/atom
1.0
2.854 0.000 0.000
0.000 4.802 0.000
-1.427 0.000 5.185
C Rh
2 4
direct
0.921 0.750 0.843
0.079 0.250 0.157
0.704 0.250 0.409
0.556 0.750 0.112
0.444 0.250 0.888
0.296 0.750 0.591

---

Record 2
PBEsol ZrSc2Ru, optimized geometry; E_form = -275.4 meV/atom; SG = No. 123; ΔE to the lowest computed polymorph = 0.0531 eV/atom; DOS at the Fermi energy = 1.046 states/eV/atom
1.0
-1.896 0.279 -2.545
1.956 -1.885 -1.664
-3.940 -6.089 2.268
Sc Ru Zr
2 1 1
direct
0.000 0.000 0.299
0.000 0.000 0.701
0.500 0.500 0.500
0.500 0.500 0.000

---

Record 3
PBEsol Na2NiH8S2O12, optimized geometry; SG = No. 14
1.0
5.450 0.000 0.003
0.000 8.129 0.000
-1.878 0.000 10.785
O Na H S Ni
24 4 16 4 2
direct
0.680 0.377 0.424
0.826 0.712 0.426
0.121 0.032 0.837
0.366 0.726 0.273
0.320 0.877 0.076
0.781 0.417 0.921
0.366 0.774 0.773
0.121 0.468 0.337
0.320 0.623 0.576
0.879 0.968 0.163
0.879 0.532 0.663
0.649 0.679 0.129
0.680 0.123 0.924
0.219 0.917 0.579
0.351 0.179 0.371
0.174 0.212 0.074
0.781 0.083 0.421
0.634 0.226 0.227
0.174 0.288 0.574
0.219 0.583 0.079
0.351 0.321 0.871
0.649 0.821 0.629
0.634 0.274 0.727
0.826 0.788 0.926
0.883 0.425 0.137
0.883 0.075 0.637
0.117 0.575 0.863
0.117 0.925 0.363
0.672 0.692 0.364
0.767 0.061 0.180
0.760 0.771 0.494
0.328 0.308 0.636
0.760 0.729 0.994
0.778 0.636 0.655
0.233 0.939 0.820
0.778 0.864 0.155
0.240 0.229 0.506
0.222 0.364 0.345
0.672 0.808 0.864
0.233 0.561 0.320
0.240 0.271 0.006
0.222 0.136 0.845
0.767 0.439 0.680
0.328 0.192 0.136
0.619 0.285 0.863
0.381 0.715 0.137
0.619 0.215 0.363
0.381 0.785 0.637
0.000 0.000 0.000
0.000 0.500 0.500

---

Record 4
PBEsol OsPbCl, optimized geometry; SG = No. 42; ΔE to the lowest computed polymorph = 0.0000 eV/atom; DOS at the Fermi energy = 0.706 states/eV/atom
1.0
-2.064 -0.812 1.968
-0.099 -3.002 0.892
3.752 1.114 6.629
Cl Pb Os
1 1 1
direct
0.032 0.000 0.935
0.316 0.000 0.368
0.652 0.000 0.697

---

Record 5
PBEsol Ta2PtBr, optimized geometry; SG = No. 25; DOS at the Fermi energy = 0.675 states/eV/atom
1.0
2.911 0.000 0.114
0.000 4.878 0.000
-0.192 0.000 4.834
Ta Br Pt
2 1 1
direct
0.124 0.000 0.985
0.625 0.500 0.274
0.625 0.000 0.481
0.125 0.500 0.759

---

Record 6
PBEsol BeH3S, optimized geometry; SG = No. 221; DOS at the Fermi energy = 0.347 states/eV/atom
1.0
3.241 0.000 0.000
0.000 3.241 0.000
0.000 0.000 3.241
Be S H
1 1 3
direct
0.000 0.000 0.000
0.500 0.500 0.500
0.500 0.000 0.000
0.000 0.000 0.500
0.000 0.500 0.000

---

For the records above, the corresponding DFT total energy values read -48.84 -33.57 -280.19 -16.17 -33.42 -14.41 eV/cell.